# K2MgVSe4

A relaxed K2MgVSe4 crystal (GGA-PBE, the Alexandria database).

a b c (Å): 14.0483 12.6361 7.4876
angles (deg): 84.43 63.54 32.04
Closest atoms and distances in Å follow each position.
Atoms (fractional coordinates):
K 0.0565 0.0565 0.6935  8 Se 3.54-3.79
K 0.3065 0.3065 0.9435  8 Se 3.54-3.79
K 0.6935 0.6935 0.0565  8 Se 3.54-3.79
K 0.9435 0.9435 0.3065  8 Se 3.54-3.79
Mg 0.1250 0.1250 0.1250  4 Se 2.56
Mg 0.8750 0.8750 0.8750  4 Se 2.56
V 0.3750 0.3750 0.3750  4 Se 2.37
V 0.6250 0.6250 0.6250  4 Se 2.37
Se 0.0062 0.3535 0.4472  1 V 2.37, 1 Mg 2.56
Se 0.3069 0.5528 0.6465  1 V 2.37, 1 Mg 2.56
Se 0.3535 0.0062 0.6931  1 V 2.37, 1 Mg 2.56
Se 0.4472 0.6931 0.0062  1 V 2.37, 1 Mg 2.56
Se 0.5528 0.3069 0.9938  1 V 2.37, 1 Mg 2.56
Se 0.6465 0.9938 0.3069  1 V 2.37, 1 Mg 2.56
Se 0.6931 0.4472 0.3535  1 V 2.37, 1 Mg 2.56
Se 0.9938 0.6465 0.5528  1 V 2.37, 1 Mg 2.56

Output
The formation energy without anion corrections comes out at -1.01 eV/atom. The total magnetization is 2.00 Bohr magnetons per cell. The value obtained for the energy is -4.37 eV/atom.